Density functional theory data (PBE-GGA) for an optimized crystal structure of Zn2AgAu.

Lattice parameters (Å, degrees): 5.0988 5.0988 4.5967 71.64 71.64 35.07
With the nearest neighbours (Å) after each atom.
Fractional coordinates of all 4 atoms:
Zn 0.9935 0.9935 0.9619  3 Au 2.73-2.81, 2 Zn 2.74, 4 Ag 2.76-2.77
Zn 0.2591 0.2591 0.2851  4 Zn 2.74-3.07, 4 Au 2.77-2.78, 3 Ag 2.77
Au 0.7394 0.7394 0.8001  7 Zn 2.73-2.81, 2 Ag 3.00
Ag 0.5080 0.5080 0.4529  7 Zn 2.76-2.77, 2 Au 3.00, 2 Ag 3.07

total magnetic moment: 0.0 Bohr magnetons per cell
energy: -2.30 eV per atom
formation energy from the elements: -0.131 eV per atom
Fermi-level density of states: 0.1116 states/eV/atom
calculated volume: 65 Å³/f.u.
symmetry: Cm (8)
polymorph energy (0 for the lowest one): 13 meV per atom